[1]
Crystalline HfRu at its relaxed geometry. Source: the Alexandria database, functional PBE.

Output
energy = -9.28 eV per atom
energy relative to the elements = 31.8 kJ/mol of atoms
M_tot = 0.0 μB per formula unit

Cell lengths 4.4180, 4.4180, 5.3646 Å; angles 90.00, 90.00, 120.00 degrees
Atoms (fractional coordinates):
1 Ru 0.6667 0.3333 0.7500
2 Ru 0.3333 0.6667 0.2500
3 Hf 0.6667 0.3333 0.2500
4 Hf 0.3333 0.6667 0.7500



[2]
Crystalline HoC3 at its relaxed geometry. Source: the Alexandria database, functional PBE.

Output
energy = -7.43 eV per atom
energy relative to the elements = 60.9 kJ/mol of atoms
M_tot = 0.0 μB per formula unit

Cell lengths 5.2040, 4.8672, 4.8672 Å; angles 120.01, 90.00, 90.00 degrees
Atoms (fractional coordinates):
1 C 0.2500 0.2669 0.7331
2 C 0.7500 0.7330 0.9661
3 C 0.2500 0.2670 0.0339
4 C 0.2500 0.9661 0.7330
5 C 0.7500 0.0339 0.2670
6 C 0.7500 0.7331 0.2669
7 Ho 0.2500 0.8335 0.1665
8 Ho 0.7500 0.1665 0.8335



[3]
Crystalline NaHgIO4 at its relaxed geometry. Source: the Alexandria database, functional PBE.

Output
energy = -3.85 eV per atom
ΔE_f (raw) = -0.56 eV per atom
M_tot = 0.0 μB per formula unit

Cell lengths 6.7719, 6.7655, 6.7655 Å; angles 64.10, 59.97, 59.97 degrees
Atoms (fractional coordinates):
1 O 0.7795 0.6861 0.1861
2 O 0.7448 0.7880 0.7224
3 O 0.7448 0.2224 0.2880
4 O 0.2205 0.3139 0.8139
5 O 0.6516 0.3139 0.8139
6 O 0.2552 0.2120 0.2776
7 O 0.2552 0.7776 0.7120
8 O 0.3484 0.6861 0.1861
9 I 0.3131 0.4369 0.9369
10 I 0.6869 0.5631 0.0631
11 Na 0.0000 0.0000 0.0000
12 Na 0.0000 0.5000 0.5000
13 Hg 0.0000 0.0000 0.5000
14 Hg 0.5000 0.0000 0.5000



[4]
Crystalline Nd3SnSe2 at its relaxed geometry. Source: the Alexandria database, functional PBE.

Output
energy = -5.71 eV per atom
ΔE_f (raw) = -1.50 eV per atom
relative energy among the computed polymorphs = 0.08 kcal/mol of atoms
M_tot = 0.0 μB per formula unit

Cell lengths 4.3603, 6.1455, 7.5050 Å; angles 114.17, 106.87, 90.00 degrees
Atoms (fractional coordinates):
1 Se 0.1646 0.6644 0.3288
2 Se 0.8354 0.3356 0.6712
3 Nd 0.8278 0.8279 0.6557
4 Nd 0.1722 0.1721 0.3443
5 Nd 0.5000 0.5000 0.0000
6 Sn 0.5000 0.0000 0.0000